{"formula": "NdInFeSe3", "functional": "PBE", "state": "relaxed", "cell": [[-6.401, 0.660, -4.100], [-7.627, 0.128, -0.158], [0.153, 11.016, 1.534]], "species": ["Fe", "Fe", "In", "In", "Nd", "Nd", "Se", "Se", "Se", "Se", "Se", "Se"], "frac_coords": [[0.527, 0.527, 0.250], [0.473, 0.473, 0.750], [0.244, 0.244, 0.250], [0.756, 0.756, 0.750], [0.000, 0.000, 0.000], [0.000, 0.000, 0.500], [0.630, 0.630, 0.079], [0.930, 0.930, 0.250], [0.630, 0.630, 0.421], [0.370, 0.370, 0.579], [0.070, 0.070, 0.750], [0.370, 0.370, 0.921]], "e_tot_ev_per_atom": -5.242, "spacegroup": "Cmcm (63)"}